[1]
DFT (PBE) results for an optimized crystal structure of Ac4TlHg2Pd.

As for the theoretical density: 10.463 g/cm3. Its total energy is -85.866 eV/cell. The density of states at the Fermi level is 0.7444 states/eV/atom. The calculation puts the total moment at 0.000 μB per cell.

It has space group R-3m (No. 166, hexagonal axes), with a = 5.6938 Å, b = 5.6938 Å, c = 27.4717 Å, α = 90.00°, β = 90.00° and γ = 120.00°. Symmetry generates all atoms from Ac at (0.0000, 0.0000, 0.1161), Ac at (0.0000, 0.0000, 0.3686), Tl at (0.0000, 0.0000, 0.5000), Hg at (0.0000, 0.0000, 0.2427) and Pd at (0.0000, 0.0000, 0.0000).

[2]
DFT (PBE) results for an optimized crystal structure of AcTlHgPd3.

As for the theoretical density: 10.956 g/cm3. Its total energy is -97.645 eV/cell. The density of states at the Fermi level is 0.3507 states/eV/atom. The calculation puts the total moment at 0.000 μB per cell.

It has space group Cmcm (No. 63), with a = 6.073 Å, b = 12.952 Å, c = 7.332 Å, α = 90.00°, β = 90.00° and γ = 90.00°. Symmetry generates all atoms from Ac at (0.000, 0.158, 0.250), Tl at (0.000, 0.144, 0.750), Hg at (0.000, 0.407, 0.250), Pd at (0.000, 0.361, 0.750) and Pd at (0.232, 0.000, 0.000).